(1)
# Ba2ScHg GGA-PBE relaxed
# Calculated formation energy ... 0.116 eV/atom
# Symmetry ... R-3m (166)
data_Ba2ScHg
_symmetry_space_group_name_H-M 'P 1'
_symmetry_Int_Tables_number 1
_cell_length_a 11.451
_cell_length_b 11.451
_cell_length_c 11.451
_cell_angle_alpha 20.34
_cell_angle_beta 20.34
_cell_angle_gamma 20.34
loop_
_symmetry_equiv_pos_as_xyz
'x,y,z'
loop_
_atom_site_label
_atom_site_type_symbol
_atom_site_fract_x
_atom_site_fract_y
_atom_site_fract_z
Sc1 Sc 0.750 0.750 0.750
Ba1 Ba 0.504 0.504 0.504
Ba2 Ba 0.996 0.996 0.996
Hg1 Hg 0.250 0.250 0.250



(2)
# Ba2ScHg GGA-PBE relaxed
# Calculated formation energy ... 0.148 eV/atom
# Symmetry ... I-4m2 (119)
data_Ba2ScHg
_symmetry_space_group_name_H-M 'P 1'
_symmetry_Int_Tables_number 1
_cell_length_a 6.623
_cell_length_b 6.623
_cell_length_c 6.623
_cell_angle_alpha 134.23
_cell_angle_beta 134.23
_cell_angle_gamma 66.72
loop_
_symmetry_equiv_pos_as_xyz
'x,y,z'
loop_
_atom_site_label
_atom_site_type_symbol
_atom_site_fract_x
_atom_site_fract_y
_atom_site_fract_z
Sc1 Sc 0.750 0.250 0.500
Hg1 Hg 0.500 0.500 0.000
Ba1 Ba 0.250 0.750 0.500
Ba2 Ba 0.000 0.000 0.000



(3)
# BaScHg4 GGA-PBE relaxed
# Calculated formation energy ... -0.144 eV/atom
# Symmetry ... F-43m (216)
data_BaScHg4
_symmetry_space_group_name_H-M 'P 1'
_symmetry_Int_Tables_number 1
_cell_length_a 6.128
_cell_length_b 6.128
_cell_length_c 6.128
_cell_angle_alpha 60.00
_cell_angle_beta 60.00
_cell_angle_gamma 60.00
loop_
_symmetry_equiv_pos_as_xyz
'x,y,z'
loop_
_atom_site_label
_atom_site_type_symbol
_atom_site_fract_x
_atom_site_fract_y
_atom_site_fract_z
Hg1 Hg 0.376 0.376 0.873
Hg2 Hg 0.873 0.376 0.376
Hg3 Hg 0.376 0.376 0.376
Hg4 Hg 0.376 0.873 0.376
Sc1 Sc 0.750 0.750 0.750
Ba1 Ba 0.000 0.000 0.000



(4)
# Ba2ScHg GGA-PBE relaxed
# Calculated formation energy ... 0.151 eV/atom
# Symmetry ... F-43m (216)
data_Ba2ScHg
_symmetry_space_group_name_H-M 'P 1'
_symmetry_Int_Tables_number 1
_cell_length_a 5.810
_cell_length_b 5.810
_cell_length_c 5.810
_cell_angle_alpha 60.00
_cell_angle_beta 60.00
_cell_angle_gamma 60.00
loop_
_symmetry_equiv_pos_as_xyz
'x,y,z'
loop_
_atom_site_label
_atom_site_type_symbol
_atom_site_fract_x
_atom_site_fract_y
_atom_site_fract_z
Sc1 Sc 0.750 0.750 0.750
Ba1 Ba 0.250 0.250 0.250
Ba2 Ba 0.000 0.000 0.000
Hg1 Hg 0.500 0.500 0.500



(5)
# Ba2ScHgSe5 GGA-PBE relaxed
# Formation energy (no corrections) ... -1.381 eV per atom
# Symmetry ... Cmc2_1 (36)
data_Ba2ScHgSe5
_symmetry_space_group_name_H-M 'P 1'
_symmetry_Int_Tables_number 1
_cell_length_a 4.211
_cell_length_b 9.931
_cell_length_c 13.106
_cell_angle_alpha 90.00
_cell_angle_beta 90.00
_cell_angle_gamma 102.24
loop_
_symmetry_equiv_pos_as_xyz
'x,y,z'
loop_
_atom_site_label
_atom_site_type_symbol
_atom_site_fract_x
_atom_site_fract_y
_atom_site_fract_z
Se1 Se 0.497 0.994 0.763
Ba1 Ba 0.123 0.246 0.698
Se2 Se 0.074 0.148 0.060
Hg1 Hg 0.546 0.092 0.944
Hg2 Hg 0.454 0.908 0.444
Ba2 Ba 0.131 0.263 0.314
Ba3 Ba 0.869 0.737 0.814
Se3 Se 0.700 0.400 0.873
Se4 Se 0.351 0.702 0.009
Ba4 Ba 0.877 0.754 0.198
Se5 Se 0.708 0.417 0.150
Se6 Se 0.300 0.600 0.373
Sc1 Sc 0.785 0.570 0.512
Se7 Se 0.926 0.852 0.560
Sc2 Sc 0.215 0.430 0.012
Se8 Se 0.503 0.006 0.263
Se9 Se 0.292 0.583 0.650
Se10 Se 0.649 0.298 0.509



(6)
# BaSc2SnHg GGA-PBE relaxed
# Calculated formation energy ... 0.169 eV/atom
# Symmetry ... P4/mmm (123)
data_BaSc2SnHg
_symmetry_space_group_name_H-M 'P 1'
_symmetry_Int_Tables_number 1
_cell_length_a 5.454
_cell_length_b 5.701
_cell_length_c 5.454
_cell_angle_alpha 90.00
_cell_angle_beta 90.00
_cell_angle_gamma 90.00
loop_
_symmetry_equiv_pos_as_xyz
'x,y,z'
loop_
_atom_site_label
_atom_site_type_symbol
_atom_site_fract_x
_atom_site_fract_y
_atom_site_fract_z
Sc1 Sc 0.000 0.000 0.500
Sn1 Sn 0.000 0.500 0.000
Ba1 Ba 0.500 0.500 0.500
Hg1 Hg 0.000 0.000 0.000
Sc2 Sc 0.500 0.000 0.000



(7)
# Ba2ScHgTe5 GGA-PBE relaxed
# Formation energy (no corrections) ... -1.127 eV per atom
# Symmetry ... Cmc2_1 (36)
data_Ba2ScHgTe5
_symmetry_space_group_name_H-M 'P 1'
_symmetry_Int_Tables_number 1
_cell_length_a 4.487
_cell_length_b 10.736
_cell_length_c 13.797
_cell_angle_alpha 90.00
_cell_angle_beta 90.00
_cell_angle_gamma 102.06
loop_
_symmetry_equiv_pos_as_xyz
'x,y,z'
loop_
_atom_site_label
_atom_site_type_symbol
_atom_site_fract_x
_atom_site_fract_y
_atom_site_fract_z
Te1 Te 0.078 0.157 0.056
Te2 Te 0.355 0.709 0.011
Te3 Te 0.296 0.593 0.370
Te4 Te 0.709 0.419 0.156
Hg1 Hg 0.452 0.904 0.440
Sc1 Sc 0.218 0.435 0.013
Te5 Te 0.503 0.006 0.258
Te6 Te 0.704 0.407 0.870
Te7 Te 0.645 0.291 0.511
Ba1 Ba 0.129 0.257 0.315
Ba2 Ba 0.877 0.754 0.203
Te8 Te 0.922 0.843 0.556
Ba3 Ba 0.871 0.743 0.815
Ba4 Ba 0.123 0.246 0.703
Hg2 Hg 0.548 0.096 0.940
Te9 Te 0.497 0.994 0.758
Sc2 Sc 0.782 0.565 0.513
Te10 Te 0.291 0.581 0.656



(8)
# BaYSc2Hg GGA-PBE relaxed
# Calculated formation energy ... 0.969 eV/atom
# Symmetry ... P4/mmm (123)
data_BaYSc2Hg
_symmetry_space_group_name_H-M 'P 1'
_symmetry_Int_Tables_number 1
_cell_length_a 5.363
_cell_length_b 5.868
_cell_length_c 5.363
_cell_angle_alpha 90.00
_cell_angle_beta 90.00
_cell_angle_gamma 90.00
loop_
_symmetry_equiv_pos_as_xyz
'x,y,z'
loop_
_atom_site_label
_atom_site_type_symbol
_atom_site_fract_x
_atom_site_fract_y
_atom_site_fract_z
Sc1 Sc 0.500 0.000 0.000
Ba1 Ba 0.000 0.000 0.000
Hg1 Hg 0.000 0.500 0.000
Y1 Y 0.500 0.500 0.500
Sc2 Sc 0.000 0.000 0.500



(9)
# BaHg3Se4 GGA-PBE relaxed
# Formation energy (no corrections) ... -0.490 eV per atom
# Symmetry ... Cmmm (65)
data_BaHg3Se4
_symmetry_space_group_name_H-M 'P 1'
_symmetry_Int_Tables_number 1
_cell_length_a 4.638
_cell_length_b 7.640
_cell_length_c 8.570
_cell_angle_alpha 116.47
_cell_angle_beta 90.00
_cell_angle_gamma 90.00
loop_
_symmetry_equiv_pos_as_xyz
'x,y,z'
loop_
_atom_site_label
_atom_site_type_symbol
_atom_site_fract_x
_atom_site_fract_y
_atom_site_fract_z
Se1 Se 0.000 0.887 0.242
Se2 Se 0.000 0.355 0.242
Se3 Se 0.000 0.645 0.758
Ba1 Ba 0.500 0.000 0.000
Hg1 Hg 0.000 0.259 0.519
Hg2 Hg 0.000 0.500 0.000
Hg3 Hg 0.000 0.741 0.481
Se4 Se 0.000 0.113 0.758



(10)
# BaHgSe4 GGA-PBE relaxed
# Formation energy (no corrections) ... -0.421 eV per atom
# Symmetry ... F-43m (216)
data_BaHgSe4
_symmetry_space_group_name_H-M 'P 1'
_symmetry_Int_Tables_number 1
_cell_length_a 6.043
_cell_length_b 6.043
_cell_length_c 6.043
_cell_angle_alpha 60.00
_cell_angle_beta 60.00
_cell_angle_gamma 60.00
loop_
_symmetry_equiv_pos_as_xyz
'x,y,z'
loop_
_atom_site_label
_atom_site_type_symbol
_atom_site_fract_x
_atom_site_fract_y
_atom_site_fract_z
Se1 Se 0.878 0.374 0.374
Ba1 Ba 0.750 0.750 0.750
Se2 Se 0.374 0.374 0.374
Se3 Se 0.374 0.374 0.878
Se4 Se 0.374 0.878 0.374
Hg1 Hg 0.000 0.000 0.000



The records above give, respectively, uncorrected energy values of -10.01 -9.89 -10.33 -9.88 -40.33 -18.05 -36.33 -16.50 -20.68 -18.69 eV per formula unit.
The records above give, respectively, calculated density values of 5.4 5.9 10.1 6.2 5.7 5.4 5.9 5.1 6.4 7.0 Mg/m³.